(i)
# HoSnPO (PBE-GGA, optimized geometry)
# - Spin magnetization: 0.001 μB/cell
# - Space group: P4/nmm (129)
data_HoSnPO
_chemical_formula_sum 'Ho2 Sn2 P2 O2'
_space_group_name_H-M_alt 'P 1'
_space_group_IT_number 1
_space_group_name_Hall 'P 1'
_cell_length_a 5.397
_cell_length_b 5.397
_cell_length_c 5.178
_cell_angle_alpha 90.00
_cell_angle_beta 90.00
_cell_angle_gamma 90.00
loop_
_atom_site_label
_atom_site_type_symbol
_atom_site_fract_x
_atom_site_fract_y
_atom_site_fract_z
_atom_site_occupancy
Ho1 Ho 0.250 0.750 0.000 1
Ho2 Ho 0.750 0.250 0.000 1
Sn1 Sn 0.250 0.250 0.490 1
Sn2 Sn 0.750 0.750 0.510 1
P1 P 0.250 0.250 0.986 1
P2 P 0.750 0.750 0.014 1
O1 O 0.250 0.750 0.500 1
O2 O 0.750 0.250 0.500 1


(ii)
# HoSnPO (PBE-GGA, optimized geometry)
# - Spin magnetization: 0.028 μB/cell
# - Space group: P4/nmm (129)
data_HoSnPO
_chemical_formula_sum 'Ho2 Sn2 P2 O2'
_space_group_name_H-M_alt 'P 1'
_space_group_IT_number 1
_space_group_name_Hall 'P 1'
_cell_length_a 4.057
_cell_length_b 4.057
_cell_length_c 9.721
_cell_angle_alpha 90.00
_cell_angle_beta 90.00
_cell_angle_gamma 90.00
loop_
_atom_site_label
_atom_site_type_symbol
_atom_site_fract_x
_atom_site_fract_y
_atom_site_fract_z
_atom_site_occupancy
Ho1 Ho 0.250 0.250 0.104 1
Ho2 Ho 0.750 0.750 0.896 1
Sn1 Sn 0.250 0.750 0.500 1
Sn2 Sn 0.750 0.250 0.500 1
P1 P 0.250 0.250 0.726 1
P2 P 0.750 0.750 0.274 1
O1 O 0.250 0.750 0.000 1
O2 O 0.750 0.250 0.000 1


Preferred: (ii); penalty for the next structure: 22.5 kJ/mol of atoms.


(i)
# BeCdSO (PBE-GGA, optimized geometry)
# - Space group: Pbca (61)
data_BeCdSO
_chemical_formula_sum 'Be8 Cd8 S8 O8'
_space_group_name_H-M_alt 'P 1'
_space_group_IT_number 1
_space_group_name_Hall 'P 1'
_cell_length_a 6.453
_cell_length_b 6.634
_cell_length_c 11.415
_cell_angle_alpha 90.00
_cell_angle_beta 90.00
_cell_angle_gamma 90.00
loop_
_atom_site_label
_atom_site_type_symbol
_atom_site_fract_x
_atom_site_fract_y
_atom_site_fract_z
_atom_site_occupancy
Be1 Be 0.108 0.170 0.068 1
Be2 Be 0.108 0.330 0.568 1
Be3 Be 0.392 0.670 0.068 1
Be4 Be 0.392 0.830 0.568 1
Be5 Be 0.608 0.170 0.432 1
Be6 Be 0.608 0.330 0.932 1
Be7 Be 0.892 0.670 0.432 1
Be8 Be 0.892 0.830 0.932 1
Cd1 Cd 0.168 0.580 0.796 1
Cd2 Cd 0.168 0.920 0.296 1
Cd3 Cd 0.332 0.080 0.796 1
Cd4 Cd 0.332 0.420 0.296 1
Cd5 Cd 0.668 0.580 0.704 1
Cd6 Cd 0.668 0.920 0.204 1
Cd7 Cd 0.832 0.080 0.704 1
Cd8 Cd 0.832 0.420 0.204 1
S1 S 0.215 0.602 0.484 1
S2 S 0.215 0.898 0.984 1
S3 S 0.285 0.102 0.484 1
S4 S 0.285 0.398 0.984 1
S5 S 0.715 0.602 0.016 1
S6 S 0.715 0.898 0.516 1
S7 S 0.785 0.102 0.016 1
S8 S 0.785 0.398 0.516 1
O1 O 0.111 0.212 0.203 1
O2 O 0.111 0.288 0.703 1
O3 O 0.389 0.712 0.203 1
O4 O 0.389 0.788 0.703 1
O5 O 0.611 0.212 0.297 1
O6 O 0.611 0.288 0.797 1
O7 O 0.889 0.712 0.297 1
O8 O 0.889 0.788 0.797 1


(ii)
# BeCdSO (PBE-GGA, optimized geometry)
# - Space group: Pca2_1 (29)
data_BeCdSO
_chemical_formula_sum 'Be4 Cd4 S4 O4'
_space_group_name_H-M_alt 'P 1'
_space_group_IT_number 1
_space_group_name_Hall 'P 1'
_cell_length_a 5.340
_cell_length_b 8.484
_cell_length_c 4.992
_cell_angle_alpha 90.00
_cell_angle_beta 90.00
_cell_angle_gamma 90.00
loop_
_atom_site_label
_atom_site_type_symbol
_atom_site_fract_x
_atom_site_fract_y
_atom_site_fract_z
_atom_site_occupancy
Be1 Be 0.119 0.032 0.000 1
Be2 Be 0.381 0.032 0.500 1
Be3 Be 0.619 0.968 0.000 1
Be4 Be 0.881 0.968 0.500 1
Cd1 Cd 0.004 0.344 0.585 1
Cd2 Cd 0.496 0.344 0.085 1
Cd3 Cd 0.504 0.656 0.585 1
Cd4 Cd 0.996 0.656 0.085 1
S1 S 0.005 0.672 0.585 1
S2 S 0.495 0.672 0.085 1
S3 S 0.505 0.328 0.585 1
S4 S 0.995 0.328 0.085 1
O1 O 0.120 0.034 0.665 1
O2 O 0.380 0.034 0.165 1
O3 O 0.620 0.966 0.665 1
O4 O 0.880 0.966 0.165 1


Preferred: (ii); penalty for the next structure: 30.3 kJ/mol of atoms.


(i)
# RbGdSO (PBE-GGA, optimized geometry)
# - Spin magnetization: 0.008 μB/cell
# - Space group: P-6m2 (187)
data_RbGdSO
_chemical_formula_sum 'Rb2 Gd2 S2 O2'
_space_group_name_H-M_alt 'P 1'
_space_group_IT_number 1
_space_group_name_Hall 'P 1'
_cell_length_a 3.767
_cell_length_b 3.767
_cell_length_c 14.320
_cell_angle_alpha 90.00
_cell_angle_beta 90.00
_cell_angle_gamma 120.00
loop_
_atom_site_label
_atom_site_type_symbol
_atom_site_fract_x
_atom_site_fract_y
_atom_site_fract_z
_atom_site_occupancy
Rb1 Rb 0.000 0.000 0.000 1
Rb2 Rb 0.333 0.667 0.500 1
Gd1 Gd 0.667 0.333 0.280 1
Gd2 Gd 0.667 0.333 0.720 1
S1 S 0.333 0.667 0.166 1
S2 S 0.333 0.667 0.834 1
O1 O 0.000 0.000 0.354 1
O2 O 0.000 0.000 0.646 1


(ii)
# RbGdSO (PBE-GGA, optimized geometry)
# - Spin magnetization: 0.000 μB/cell
# - Space group: P2_1/c (14)
data_RbGdSO
_chemical_formula_sum 'Rb4 Gd4 S4 O4'
_space_group_name_H-M_alt 'P 1'
_space_group_IT_number 1
_space_group_name_Hall 'P 1'
_cell_length_a 7.847
_cell_length_b 7.434
_cell_length_c 6.586
_cell_angle_alpha 90.00
_cell_angle_beta 104.33
_cell_angle_gamma 90.00
loop_
_atom_site_label
_atom_site_type_symbol
_atom_site_fract_x
_atom_site_fract_y
_atom_site_fract_z
_atom_site_occupancy
Rb1 Rb 0.081 0.242 0.008 1
Rb2 Rb 0.081 0.258 0.508 1
Rb3 Rb 0.919 0.742 0.492 1
Rb4 Rb 0.919 0.758 0.992 1
Gd1 Gd 0.475 0.627 0.272 1
Gd2 Gd 0.475 0.873 0.772 1
Gd3 Gd 0.525 0.127 0.228 1
Gd4 Gd 0.525 0.373 0.728 1
S1 S 0.260 0.592 0.850 1
S2 S 0.260 0.908 0.350 1
S3 S 0.740 0.092 0.650 1
S4 S 0.740 0.408 0.150 1
O1 O 0.396 0.146 0.879 1
O2 O 0.396 0.354 0.379 1
O3 O 0.604 0.646 0.621 1
O4 O 0.604 0.854 0.121 1


Preferred: (ii); penalty for the next structure: 10.0 kJ/mol of atoms.


(i)
# BeGeOsPb (PBE-GGA, optimized geometry)
# - Spin magnetization: 0.007 μB/cell
# - Space group: F-43m (216)
data_BeGeOsPb
_chemical_formula_sum 'Be1 Ge1 Os1 Pb1'
_space_group_name_H-M_alt 'P 1'
_space_group_IT_number 1
_space_group_name_Hall 'P 1'
_cell_length_a 4.576
_cell_length_b 4.576
_cell_length_c 4.576
_cell_angle_alpha 60.00
_cell_angle_beta 60.00
_cell_angle_gamma 60.00
loop_
_atom_site_label
_atom_site_type_symbol
_atom_site_fract_x
_atom_site_fract_y
_atom_site_fract_z
_atom_site_occupancy
Be1 Be 0.000 0.000 0.000 1
Ge1 Ge 0.500 0.500 0.500 1
Os1 Os 0.750 0.750 0.750 1
Pb1 Pb 0.250 0.250 0.250 1


(ii)
# BeGeOsPb (PBE-GGA, optimized geometry)
# - Spin magnetization: 0.006 μB/cell
# - Space group: F-43m (216)
data_BeGeOsPb
_chemical_formula_sum 'Be1 Ge1 Os1 Pb1'
_space_group_name_H-M_alt 'P 1'
_space_group_IT_number 1
_space_group_name_Hall 'P 1'
_cell_length_a 4.561
_cell_length_b 4.561
_cell_length_c 4.561
_cell_angle_alpha 60.00
_cell_angle_beta 60.00
_cell_angle_gamma 60.00
loop_
_atom_site_label
_atom_site_type_symbol
_atom_site_fract_x
_atom_site_fract_y
_atom_site_fract_z
_atom_site_occupancy
Be1 Be 0.000 0.000 0.000 1
Ge1 Ge 0.750 0.750 0.750 1
Os1 Os 0.500 0.500 0.500 1
Pb1 Pb 0.250 0.250 0.250 1


Preferred: (ii); penalty for the next structure: 3.2 kJ/mol of atoms.


(i)
# PrAuSO (PBE-GGA, optimized geometry)
# - Spin magnetization: 0.005 μB/cell
# - Space group: Pcca (54)
data_PrAuSO
_chemical_formula_sum 'Pr4 Au4 S4 O4'
_space_group_name_H-M_alt 'P 1'
_space_group_IT_number 1
_space_group_name_Hall 'P 1'
_cell_length_a 5.806
_cell_length_b 9.132
_cell_length_c 5.810
_cell_angle_alpha 90.00
_cell_angle_beta 90.00
_cell_angle_gamma 90.00
loop_
_atom_site_label
_atom_site_type_symbol
_atom_site_fract_x
_atom_site_fract_y
_atom_site_fract_z
_atom_site_occupancy
Pr1 Pr 0.000 0.131 0.250 1
Pr2 Pr 0.000 0.869 0.750 1
Pr3 Pr 0.500 0.131 0.750 1
Pr4 Pr 0.500 0.869 0.250 1
Au1 Au 0.250 0.500 0.245 1
Au2 Au 0.250 0.500 0.745 1
Au3 Au 0.750 0.500 0.255 1
Au4 Au 0.750 0.500 0.755 1
S1 S 0.000 0.291 0.750 1
S2 S 0.000 0.709 0.250 1
S3 S 0.500 0.291 0.250 1
S4 S 0.500 0.709 0.750 1
O1 O 0.250 0.000 0.001 1
O2 O 0.250 0.000 0.501 1
O3 O 0.750 0.000 0.499 1
O4 O 0.750 0.000 0.999 1


(ii)
# PrAuSO (PBE-GGA, optimized geometry)
# - Spin magnetization: 0.002 μB/cell
# - Space group: P4/nmm (129)
data_PrAuSO
_chemical_formula_sum 'Pr2 Au2 S2 O2'
_space_group_name_H-M_alt 'P 1'
_space_group_IT_number 1
_space_group_name_Hall 'P 1'
_cell_length_a 4.054
_cell_length_b 4.054
_cell_length_c 8.932
_cell_angle_alpha 90.00
_cell_angle_beta 90.00
_cell_angle_gamma 90.00
loop_
_atom_site_label
_atom_site_type_symbol
_atom_site_fract_x
_atom_site_fract_y
_atom_site_fract_z
_atom_site_occupancy
Pr1 Pr 0.250 0.250 0.136 1
Pr2 Pr 0.750 0.750 0.864 1
Au1 Au 0.250 0.750 0.500 1
Au2 Au 0.750 0.250 0.500 1
S1 S 0.250 0.250 0.705 1
S2 S 0.750 0.750 0.295 1
O1 O 0.250 0.750 0.000 1
O2 O 0.750 0.250 0.000 1


Preferred: (i); penalty for the next structure: 13.7 kJ/mol of atoms.


(i)
# TaBeSbTe (PBE-GGA, optimized geometry)
# - Spin magnetization: 1.488 μB/cell
# - Space group: F-43m (216)
data_TaBeSbTe
_chemical_formula_sum 'Ta1 Be1 Sb1 Te1'
_space_group_name_H-M_alt 'P 1'
_space_group_IT_number 1
_space_group_name_Hall 'P 1'
_cell_length_a 4.865
_cell_length_b 4.865
_cell_length_c 4.865
_cell_angle_alpha 60.00
_cell_angle_beta 60.00
_cell_angle_gamma 60.00
loop_
_atom_site_label
_atom_site_type_symbol
_atom_site_fract_x
_atom_site_fract_y
_atom_site_fract_z
_atom_site_occupancy
Ta1 Ta 0.000 0.000 0.000 1
Be1 Be 0.250 0.250 0.250 1
Sb1 Sb 0.500 0.500 0.500 1
Te1 Te 0.750 0.750 0.750 1


(ii)
# TaBeSbTe (PBE-GGA, optimized geometry)
# - Spin magnetization: 0.972 μB/cell
# - Space group: F-43m (216)
data_TaBeSbTe
_chemical_formula_sum 'Ta1 Be1 Sb1 Te1'
_space_group_name_H-M_alt 'P 1'
_space_group_IT_number 1
_space_group_name_Hall 'P 1'
_cell_length_a 4.831
_cell_length_b 4.831
_cell_length_c 4.831
_cell_angle_alpha 60.00
_cell_angle_beta 60.00
_cell_angle_gamma 60.00
loop_
_atom_site_label
_atom_site_type_symbol
_atom_site_fract_x
_atom_site_fract_y
_atom_site_fract_z
_atom_site_occupancy
Ta1 Ta 0.000 0.000 0.000 1
Be1 Be 0.500 0.500 0.500 1
Sb1 Sb 0.250 0.250 0.250 1
Te1 Te 0.750 0.750 0.750 1


Preferred: (ii); penalty for the next structure: 27.1 kJ/mol of atoms.


(i)
# TaZnFeBi (PBE-GGA, optimized geometry)
# - Spin magnetization: 2.213 μB/cell
# - Space group: F-43m (216)
data_TaZnFeBi
_chemical_formula_sum 'Ta1 Zn1 Fe1 Bi1'
_space_group_name_H-M_alt 'P 1'
_space_group_IT_number 1
_space_group_name_Hall 'P 1'
_cell_length_a 4.651
_cell_length_b 4.651
_cell_length_c 4.651
_cell_angle_alpha 60.00
_cell_angle_beta 60.00
_cell_angle_gamma 60.00
loop_
_atom_site_label
_atom_site_type_symbol
_atom_site_fract_x
_atom_site_fract_y
_atom_site_fract_z
_atom_site_occupancy
Ta1 Ta 0.000 0.000 0.000 1
Zn1 Zn 0.750 0.750 0.750 1
Fe1 Fe 0.500 0.500 0.500 1
Bi1 Bi 0.250 0.250 0.250 1


(ii)
# TaZnFeBi (PBE-GGA, optimized geometry)
# - Spin magnetization: 0.001 μB/cell
# - Space group: F-43m (216)
data_TaZnFeBi
_chemical_formula_sum 'Ta1 Zn1 Fe1 Bi1'
_space_group_name_H-M_alt 'P 1'
_space_group_IT_number 1
_space_group_name_Hall 'P 1'
_cell_length_a 4.604
_cell_length_b 4.604
_cell_length_c 4.604
_cell_angle_alpha 60.00
_cell_angle_beta 60.00
_cell_angle_gamma 60.00
loop_
_atom_site_label
_atom_site_type_symbol
_atom_site_fract_x
_atom_site_fract_y
_atom_site_fract_z
_atom_site_occupancy
Ta1 Ta 0.000 0.000 0.000 1
Zn1 Zn 0.250 0.250 0.250 1
Fe1 Fe 0.750 0.750 0.750 1
Bi1 Bi 0.500 0.500 0.500 1


Preferred: (ii); penalty for the next structure: 11.6 kJ/mol of atoms.


(i)
# CsRe2 (PBE-GGA, optimized geometry)
# - Spin magnetization: 12.033 μB/cell
# - Space group: Fd-3m (227)
data_CsRe2
_chemical_formula_sum 'Cs2 Re4'
_space_group_name_H-M_alt 'P 1'
_space_group_IT_number 1
_space_group_name_Hall 'P 1'
_cell_length_a 8.754
_cell_length_b 8.754
_cell_length_c 8.754
_cell_angle_alpha 60.00
_cell_angle_beta 60.00
_cell_angle_gamma 60.00
loop_
_atom_site_label
_atom_site_type_symbol
_atom_site_fract_x
_atom_site_fract_y
_atom_site_fract_z
_atom_site_occupancy
Cs1 Cs 0.125 0.125 0.125 1
Cs2 Cs 0.875 0.875 0.875 1
Re1 Re 0.000 0.000 0.000 1
Re2 Re 0.000 0.000 0.500 1
Re3 Re 0.000 0.500 0.000 1
Re4 Re 0.500 0.000 0.000 1


(ii)
# CsRe2 (PBE-GGA, optimized geometry)
# - Spin magnetization: 0.041 μB/cell
# - Space group: P6_3/mmc (194)
data_CsRe2
_chemical_formula_sum 'Cs4 Re8'
_space_group_name_H-M_alt 'P 1'
_space_group_IT_number 1
_space_group_name_Hall 'P 1'
_cell_length_a 5.909
_cell_length_b 5.909
_cell_length_c 8.649
_cell_angle_alpha 90.00
_cell_angle_beta 90.00
_cell_angle_gamma 120.00
loop_
_atom_site_label
_atom_site_type_symbol
_atom_site_fract_x
_atom_site_fract_y
_atom_site_fract_z
_atom_site_occupancy
Cs1 Cs 0.333 0.667 0.052 1
Cs2 Cs 0.333 0.667 0.448 1
Cs3 Cs 0.667 0.333 0.552 1
Cs4 Cs 0.667 0.333 0.948 1
Re1 Re 0.000 0.000 0.000 1
Re2 Re 0.000 0.000 0.500 1
Re3 Re 0.156 0.312 0.750 1
Re4 Re 0.156 0.844 0.750 1
Re5 Re 0.312 0.156 0.250 1
Re6 Re 0.688 0.844 0.750 1
Re7 Re 0.844 0.156 0.250 1
Re8 Re 0.844 0.688 0.250 1


Preferred: (ii); penalty for the next structure: 364.6 kJ/mol of atoms.